A relaxed structure of Ta4Se9I8, computed with PBEsol.

a b c (Å): 14.2634 14.4788 13.3362
angles (deg): 90.00 90.00 90.00
Positions (direct):
1 Ta 0.1820 0.2013 0.0000
2 Ta 0.1859 0.9963 0.8849
3 Ta 0.2046 0.3025 0.7801
4 Ta 0.2110 0.1029 0.6660
5 Ta 0.2890 0.6029 0.1660
6 Ta 0.2954 0.8025 0.2801
7 Ta 0.3141 0.4963 0.3849
8 Ta 0.3180 0.7013 0.5000
9 Ta 0.6820 0.2987 0.0000
10 Ta 0.6859 0.5037 0.8849
11 Ta 0.7046 0.1975 0.7801
12 Ta 0.7110 0.3971 0.6660
13 Ta 0.7890 0.8971 0.1660
14 Ta 0.7954 0.6975 0.2801
15 Ta 0.8141 0.0037 0.3849
16 Ta 0.8180 0.7987 0.5000
17 Se 0.0480 0.0815 0.9759
18 Se 0.0615 0.3029 0.9007
19 Se 0.0711 0.0027 0.7306
20 Se 0.0827 0.2332 0.6573
21 Se 0.1761 0.0328 0.0802
22 Se 0.1977 0.3803 0.9592
23 Se 0.2141 0.9228 0.7061
24 Se 0.2295 0.6480 0.3413
25 Se 0.2320 0.2690 0.5877
26 Se 0.2680 0.7690 0.0877
27 Se 0.2705 0.1480 0.8413
28 Se 0.2859 0.4228 0.2061
29 Se 0.3023 0.8803 0.4592
30 Se 0.3239 0.5328 0.5802
31 Se 0.4173 0.7332 0.1573
32 Se 0.4289 0.5027 0.2306
33 Se 0.4385 0.8029 0.4007
34 Se 0.4520 0.5815 0.4759
35 Se 0.5480 0.4185 0.9759
36 Se 0.5615 0.1971 0.9007
37 Se 0.5711 0.4973 0.7306
38 Se 0.5827 0.2668 0.6573
39 Se 0.6761 0.4672 0.0802
40 Se 0.6977 0.1197 0.9592
41 Se 0.7141 0.5772 0.7061
42 Se 0.7295 0.8520 0.3413
43 Se 0.7320 0.2310 0.5877
44 Se 0.7680 0.7310 0.0877
45 Se 0.7705 0.3520 0.8413
46 Se 0.7859 0.0772 0.2061
47 Se 0.8023 0.6197 0.4592
48 Se 0.8239 0.9672 0.5802
49 Se 0.9173 0.7668 0.1573
50 Se 0.9289 0.9973 0.2306
51 Se 0.9385 0.6971 0.4007
52 Se 0.9520 0.9185 0.4759
53 I 0.0996 0.8320 0.9339
54 I 0.1019 0.5795 0.1292
55 I 0.1036 0.8470 0.2853
56 I 0.1056 0.2607 0.1770
57 I 0.1356 0.4390 0.4197
58 I 0.1391 0.7112 0.5710
59 I 0.1559 0.4787 0.7192
60 I 0.1590 0.0563 0.4740
61 I 0.3410 0.5563 0.9740
62 I 0.3441 0.9787 0.2192
63 I 0.3609 0.2112 0.0710
64 I 0.3644 0.9390 0.9197
65 I 0.3944 0.7607 0.6770
66 I 0.3964 0.3470 0.7853
67 I 0.3981 0.0795 0.6292
68 I 0.4004 0.3320 0.4339
69 I 0.5996 0.6680 0.9339
70 I 0.6019 0.9205 0.1292
71 I 0.6036 0.6530 0.2853
72 I 0.6056 0.2393 0.1770
73 I 0.6356 0.0610 0.4197
74 I 0.6391 0.7888 0.5710
75 I 0.6559 0.0213 0.7192
76 I 0.6590 0.4437 0.4740
77 I 0.8410 0.9437 0.9740
78 I 0.8441 0.5213 0.2192
79 I 0.8609 0.2888 0.0710
80 I 0.8644 0.5610 0.9197
81 I 0.8944 0.7393 0.6770
82 I 0.8964 0.1530 0.7853
83 I 0.8981 0.4205 0.6292
84 I 0.9004 0.1680 0.4339

Properties
M_tot in μB/f.u.: 0.0
Symmetry: Pna2_1
Uncorrected formation energy in meV/atom: -519
E_tot in eV/atom: -5.233